## ZrCo3As (GGA-PBE)

Data for a relaxed structure of ZrCo3As.

Cell: 4.2914 4.2914 4.2914 Å, 90.00 90.00 90.00°
Space group Pm-3m (No. 221)
Symmetry-distinct sites (fractional):
Zr 0.0000 0.0000 0.0000 x1
Co 0.0000 0.5000 0.5000 x3
As 0.5000 0.5000 0.5000 x1

## Properties
**Formation enthalpy at 0 K**: 0.2497 eV per atom
**Crystal system**: cubic
**Energy**: -6.6534 eV/atom

---

## ZrCoAs2 (GGA-PBE)

Data for a relaxed structure of ZrCoAs2.

Cell: 3.3932 3.7586 5.4213 Å, 90.00 90.00 90.00°
Space group Pmmm (No. 47)
Symmetry-distinct sites (fractional):
Zr 0.0000 0.0000 0.0000 x1
Co 0.5000 0.0000 0.5000 x1
As 0.5000 0.5000 0.2497 x2

## Properties
**Formation enthalpy at 0 K**: -0.4385 eV per atom
**Crystal system**: orthorhombic
**Energy**: -6.6768 eV/atom

---

## ZrCo2As2 (GGA-PBE)

Data for a relaxed structure of ZrCo2As2.

Cell: 7.1462 7.1462 2.8860 Å, 90.00 90.00 90.00°
Space group P4/mbm (No. 127)
Symmetry-distinct sites (fractional):
Zr 0.0000 0.0000 0.0000 x2
Co 0.1366 0.3634 0.5000 x4
As 0.1497 0.6497 0.0000 x4

## Properties
**Formation enthalpy at 0 K**: -0.2622 eV per atom
**Crystal system**: tetragonal
**Energy**: -6.6740 eV/atom

---

## ZrCoAs2 (GGA-PBE)

Data for a relaxed structure of ZrCoAs2.

Cell: 3.7248 3.7248 16.9770 Å, 90.00 90.00 120.00°
Space group R3m (No. 160, hexagonal axes)
Symmetry-distinct sites (fractional):
Zr 0.0000 0.0000 0.0000 x3
Co 0.0000 0.0000 0.1798 x3
As 0.0000 0.0000 0.5677 x3
As 0.0000 0.0000 0.7711 x3

## Properties
**Formation enthalpy at 0 K**: -0.5427 eV per atom
**Crystal system**: trigonal
**Energy**: -6.7809 eV/atom

---

## Zr2Co5As3 (GGA-PBE)

Data for a relaxed structure of Zr2Co5As3.

Cell: 3.8853 22.7931 6.3654 Å, 90.00 90.00 90.00°
Space group Cmc2_1 (No. 36)
Symmetry-distinct sites (fractional):
Zr 0.0000 0.0204 0.0000 x4
Zr 0.0000 0.3246 0.0152 x4
Co 0.0000 0.1010 0.3597 x4
Co 0.0000 0.2041 0.2304 x4
Co 0.0000 0.2112 0.8339 x4
Co 0.0000 0.3725 0.5316 x4
Co 0.0000 0.4429 0.1645 x4
As 0.0000 0.1130 0.7457 x4
As 0.0000 0.2679 0.5288 x4
As 0.0000 0.4535 0.7892 x4

## Properties
**Formation enthalpy at 0 K**: -0.5120 eV per atom
**Crystal system**: orthorhombic
**Energy**: -7.1694 eV/atom

---

## ZrCoAs2 (GGA-PBE)

Data for a relaxed structure of ZrCoAs2.

Cell: 6.6128 3.8009 5.8315 Å, 90.00 111.90 90.00°
Space group C2/m (No. 12)
Symmetry-distinct sites (fractional):
Zr 0.0000 0.0000 0.0000 x2
Co 0.0000 0.5000 0.5000 x2
As 0.2340 0.0000 0.7010 x4

## Properties
**Formation enthalpy at 0 K**: -0.4464 eV per atom
**Crystal system**: monoclinic
**Energy**: -6.6846 eV/atom

---

## ZrCoAs2 (GGA-PBE)

Data for a relaxed structure of ZrCoAs2.

Cell: 4.1519 3.4976 10.0713 Å, 90.00 90.00 90.00°
Space group Amm2 (No. 38)
Symmetry-distinct sites (fractional):
Zr 0.0000 0.0000 0.0000 x2
Co 0.5000 0.0000 0.3526 x2
As 0.0000 0.0000 0.2762 x2
As 0.5000 0.0000 0.5814 x2

## Properties
**Formation enthalpy at 0 K**: -0.3683 eV per atom
**Crystal system**: orthorhombic
**Energy**: -6.6066 eV/atom

---

## ZrCoAs2 (GGA-PBE)

Data for a relaxed structure of ZrCoAs2.

Cell: 4.4184 4.4184 3.3444 Å, 90.00 90.00 90.00°
Space group P4/mmm (No. 123)
Symmetry-distinct sites (fractional):
Zr 0.0000 0.0000 0.0000 x1
Co 0.5000 0.5000 0.0000 x1
As 0.0000 0.5000 0.5000 x2

## Properties
**Formation enthalpy at 0 K**: -0.3603 eV per atom
**Crystal system**: tetragonal
**Energy**: -6.5985 eV/atom